{
  "formula": "NdHfP",
  "functional": "GGA-PBE",
  "state": "optimized geometry",
  "formation_energy_ev_per_atom": -0.95,
  "crystal_system": "tetragonal",
  "final_energy_ev_per_atom": -7.663,
  "spacegroup": "P4/nmm (129)",
  "lattice": [[4.103, 0.000, 0.000], [0.000, 4.103, 0.000], [0.000, 0.000, 7.919]],
  "species": ["Nd", "Nd", "Hf", "Hf", "P", "P"],
  "frac_coords": [[0.250, 0.250, 0.144], [0.750, 0.750, 0.856], [0.250, 0.750, 0.500], [0.750, 0.250, 0.500], [0.250, 0.250, 0.739], [0.750, 0.750, 0.261]]
}